Record 1
Compound: Ba3LiF
Source: the Alexandria database
Functional: GGA-PBE
Structure: relaxed

Output
- ΔE to the lowest computed polymorph (meV per atom) = 0.0
- uncorrected formation energy (eV per atom) = -0.9723

a = 5.822 Å, b = 5.822 Å, c = 5.822 Å
α = 90.00°, β = 90.00°, γ = 90.00°
Positions (direct):
1 Li 0.500 0.500 0.500
2 Ba 0.000 0.500 0.000
3 Ba 0.000 0.000 0.500
4 Ba 0.500 0.000 0.000
5 F 0.000 0.000 0.000

---

Record 2
Compound: Tl8In6Bi
Source: the Alexandria database
Functional: GGA-PBE
Structure: relaxed

Output
- DFT formation energy (meV per atom) = 58

a = 8.134 Å, b = 8.134 Å, c = 9.457 Å
α = 64.53°, β = 64.53°, γ = 60.00°
Positions (direct):
1 Tl 0.249 0.249 0.253
2 Tl 0.137 0.634 0.382
3 Tl 0.634 0.847 0.382
4 Tl 0.751 0.751 0.747
5 Tl 0.863 0.366 0.618
6 Tl 0.847 0.137 0.382
7 Tl 0.366 0.153 0.618
8 Tl 0.153 0.863 0.618
9 In 0.373 0.608 0.885
10 In 0.133 0.373 0.885
11 In 0.608 0.133 0.885
12 In 0.867 0.627 0.115
13 In 0.627 0.392 0.115
14 In 0.392 0.867 0.115
15 Bi 0.000 0.000 0.000

---

Record 3
Compound: Tl2ReRh
Source: the Alexandria database
Functional: GGA-PBE
Structure: relaxed

Output
- ΔE to the lowest computed polymorph (meV per atom) = 381.5
- DFT formation energy (meV per atom) = 795

a = 3.290 Å, b = 3.321 Å, c = 6.707 Å
α = 90.00°, β = 90.00°, γ = 90.00°
Positions (direct):
1 Tl 0.000 0.000 0.255
2 Tl 0.000 0.000 0.745
3 Rh 0.500 0.500 0.500
4 Re 0.500 0.500 0.000

---

Record 4
Compound: TeP2Au
Source: the Alexandria database
Functional: GGA-PBE
Structure: relaxed

Output
- uncorrected formation energy (eV per atom) = 0.1981

a = 9.141 Å, b = 9.141 Å, c = 9.141 Å
α = 21.04°, β = 21.04°, γ = 21.04°
Positions (direct):
1 Te 0.486 0.486 0.486
2 P 0.996 0.996 0.996
3 P 0.282 0.282 0.282
4 Au 0.735 0.735 0.735

---

no.,total magnetization (μB per cell),mass density (g/cm3)
1,0.00,3.68
2,0.00,8.94
3,0.00,15.81
4,0.00,7.44